! SrGdCo2O6 | the Alexandria database | PBE+U | optimized geometry; values from VASP
! Total energy (eV/atom): -7.313
&SYSTEM
  ibrav = 0, nat = 10, ntyp = 4
/
ATOMIC_SPECIES
O 16.00 O.upf
Gd 157.25 Gd.upf
Co 58.93 Co.upf
Sr 87.62 Sr.upf
CELL_PARAMETERS angstrom
0.000 3.775 3.775
3.775 0.000 3.775
3.775 3.775 0.000
ATOMIC_POSITIONS angstrom
O 1.888 1.888 3.775
Gd 0.000 0.000 0.000
O 1.888 1.888 0.000
Co 5.663 5.663 5.663
O 3.775 1.888 1.888
O 1.888 3.775 1.888
Sr 3.775 3.775 3.775
Co 1.888 1.888 1.888
O 1.888 0.000 1.888
O 0.000 1.888 1.888